Here is crystalline SrCd2Co at its relaxed geometry from Alexandria. Energies are from GGA-PBE.

Lattice parameters (Å, degrees): 3.860 4.554 5.900 90.00 107.41 90.00
Atoms (fractional coordinates):
Sr (0.000, 0.000, 0.000)
Cd (0.346, 0.500, 0.698)
Cd (0.654, 0.500, 0.302)
Co (0.500, 0.000, 0.500)

Formation energy (eV/atom): 0.215
Density of states at the Fermi level (states/eV/cell): 5.00
Energy (eV per atom): -2.4394


Here is crystalline Sr2CdCo at its relaxed geometry from Alexandria. Energies are from GGA-PBE.

Lattice parameters (Å, degrees): 6.590 6.590 6.590 146.17 132.25 59.80
Atoms (fractional coordinates):
Sr (0.000, 0.000, 0.000)
Sr (0.701, 0.201, 0.500)
Cd (0.402, 0.402, 0.000)
Co (0.241, 0.741, 0.500)

Formation energy (eV/atom): 0.207
Density of states at the Fermi level (states/eV/cell): 5.71
Energy (eV per atom): -2.6396


Here is crystalline SrCd3Co at its relaxed geometry from Alexandria. Energies are from GGA-PBE.

Lattice parameters (Å, degrees): 5.038 5.038 5.038 90.00 90.00 90.00
Atoms (fractional coordinates):
Sr (0.000, 0.000, 0.000)
Cd (0.000, 0.500, 0.500)
Cd (0.500, 0.000, 0.500)
Cd (0.500, 0.500, 0.000)
Co (0.500, 0.500, 0.500)

Formation energy (eV/atom): -0.009
Energy relative to the lowest polymorph listed for this composition (eV per formula unit): 0.00
Density of states at the Fermi level (states/eV/cell): 3.93
Energy (eV per atom): -2.3157


Here is crystalline Sr2CdCo at its relaxed geometry from Alexandria. Energies are from GGA-PBE.

Lattice parameters (Å, degrees): 4.588 6.319 6.319 42.89 90.00 90.00
Atoms (fractional coordinates):
Sr (0.000, 0.000, 0.000)
Sr (0.500, 0.285, 0.285)
Cd (0.000, 0.701, 0.701)
Co (0.500, 0.589, 0.589)

Formation energy (eV/atom): 0.113
Density of states at the Fermi level (states/eV/cell): 4.37
Energy (eV per atom): -2.7336


Here is crystalline SrCd3Co at its relaxed geometry from Alexandria. Energies are from GGA-PBE.

Lattice parameters (Å, degrees): 6.386 6.386 6.386 90.00 90.00 90.00
Atoms (fractional coordinates):
Sr (0.000, 0.000, 0.000)
Cd (0.000, 0.000, 0.500)
Cd (0.000, 0.500, 0.000)
Cd (0.500, 0.000, 0.000)
Co (0.500, 0.500, 0.500)

Formation energy (eV/atom): 1.293
Energy relative to the lowest polymorph listed for this composition (eV per formula unit): 6.51
Density of states at the Fermi level (states/eV/cell): 19.91
Energy (eV per atom): -1.0139


Here is crystalline SrCd2Co at its relaxed geometry from Alexandria. Energies are from GGA-PBE.

Lattice parameters (Å, degrees): 5.154 5.154 5.154 123.03 115.40 91.49
Atoms (fractional coordinates):
Sr (0.000, 0.000, 0.000)
Cd (0.289, 0.789, 0.500)
Cd (0.525, 0.525, 0.000)
Co (0.688, 0.188, 0.500)

Formation energy (eV/atom): 0.243
Density of states at the Fermi level (states/eV/cell): 5.25
Energy (eV per atom): -2.4112


Here is crystalline SrCdCo4 at its relaxed geometry from Alexandria. Energies are from GGA-PBE.

Lattice parameters (Å, degrees): 5.118 5.118 5.118 60.00 60.00 60.00
Atoms (fractional coordinates):
Sr (0.000, 0.000, 0.000)
Cd (0.750, 0.750, 0.750)
Co (0.376, 0.376, 0.376)
Co (0.376, 0.376, 0.872)
Co (0.376, 0.872, 0.376)
Co (0.872, 0.376, 0.376)

Formation energy (eV/atom): 0.256
Density of states at the Fermi level (states/eV/cell): 6.81
Energy (eV per atom): -4.9142


Here is crystalline Sr2CdCo at its relaxed geometry from Alexandria. Energies are from GGA-PBE.

Lattice parameters (Å, degrees): 5.328 5.328 5.328 60.00 60.00 60.00
Atoms (fractional coordinates):
Sr (0.000, 0.000, 0.000)
Sr (0.250, 0.250, 0.250)
Cd (0.500, 0.500, 0.500)
Co (0.750, 0.750, 0.750)

Formation energy (eV/atom): 0.418
Density of states at the Fermi level (states/eV/cell): 9.51
Energy (eV per atom): -2.4278


Here is crystalline Sr2Cd2Co at its relaxed geometry from Alexandria. Energies are from GGA-PBE.

Lattice parameters (Å, degrees): 8.116 8.116 4.979 90.00 90.00 90.00
Atoms (fractional coordinates):
Sr (0.170, 0.330, 0.000)
Sr (0.330, 0.830, 0.000)
Sr (0.670, 0.170, 0.000)
Sr (0.830, 0.670, 0.000)
Cd (0.135, 0.635, 0.500)
Cd (0.365, 0.135, 0.500)
Cd (0.635, 0.865, 0.500)
Cd (0.865, 0.365, 0.500)
Co (0.000, 0.000, 0.000)
Co (0.500, 0.500, 0.000)

Formation energy (eV/atom): 0.386
Energy relative to the lowest polymorph listed for this composition (eV per formula unit): 1.12
Density of states at the Fermi level (states/eV/cell): 7.72
Energy (eV per atom): -2.0742


Here is crystalline SrCd2Co at its relaxed geometry from Alexandria. Energies are from GGA-PBE.

Lattice parameters (Å, degrees): 5.531 5.531 5.531 131.78 131.78 70.58
Atoms (fractional coordinates):
Sr (0.000, 0.000, 0.000)
Cd (0.250, 0.750, 0.500)
Cd (0.750, 0.250, 0.500)
Co (0.500, 0.500, 0.000)

Formation energy (eV/atom): 0.248
Density of states at the Fermi level (states/eV/cell): 4.17
Energy (eV per atom): -2.4067


Here is crystalline SrCd2Co at its relaxed geometry from Alexandria. Energies are from GGA-PBE.

Lattice parameters (Å, degrees): 5.103 5.103 5.103 60.00 60.00 60.00
Atoms (fractional coordinates):
Sr (0.000, 0.000, 0.000)
Cd (0.250, 0.250, 0.250)
Cd (0.750, 0.750, 0.750)
Co (0.500, 0.500, 0.500)

Formation energy (eV/atom): 0.278
Density of states at the Fermi level (states/eV/cell): 2.61
Energy (eV per atom): -2.3766


Here is crystalline Sr2CdCo at its relaxed geometry from Alexandria. Energies are from GGA-PBE.

Lattice parameters (Å, degrees): 6.202 6.202 6.202 135.46 135.46 64.82
Atoms (fractional coordinates):
Sr (0.000, 0.000, 0.000)
Sr (0.750, 0.250, 0.500)
Cd (0.250, 0.750, 0.500)
Co (0.500, 0.500, 0.000)

Formation energy (eV/atom): 0.355
Density of states at the Fermi level (states/eV/cell): 4.18
Energy (eV per atom): -2.4908


- Among the records above, which one has the highest formation energy?
  number 5


- The highest energy belongs to which entry?
  number 5


- What is the formula in the fourth record?
  Sr2CdCo


What did the third record say?
Here is crystalline SrCd3Co at its relaxed geometry from Alexandria. Energies are from GGA-PBE.

Lattice parameters (Å, degrees): 5.038 5.038 5.038 90.00 90.00 90.00
Atoms (fractional coordinates):
Sr (0.000, 0.000, 0.000)
Cd (0.000, 0.500, 0.500)
Cd (0.500, 0.000, 0.500)
Cd (0.500, 0.500, 0.000)
Co (0.500, 0.500, 0.500)

Formation energy (eV/atom): -0.009
Energy relative to the lowest polymorph listed for this composition (eV per formula unit): 0.00
Density of states at the Fermi level (states/eV/cell): 3.93
Energy (eV per atom): -2.3157